<1>
VASP calculation (GGA-PBE) on a relaxed structure of CsGaSe.

Properties
SG: Cmcm, No. 63

The structure in POSCAR format:
```
CsGaSe
1.0
2.077 -9.448 0.000
2.077 9.448 0.000
0.000 0.000 5.227
Cs Ga Se
2 2 2
Cartesian
2.077 6.160 3.920
2.077 -6.160 1.307
2.077 8.966 1.307
2.077 -8.966 3.920
2.077 2.131 3.920
2.077 -2.131 1.307
```


<2>
VASP calculation (GGA-PBE) on a relaxed structure of CsGaSe.

Properties
SG: P3m1, No. 156

The structure in POSCAR format:
```
CsGaSe
1.0
4.412 0.000 0.000
-2.206 3.821 0.000
0.000 0.000 6.439
Cs Ga Se
1 1 1
Cartesian
0.000 0.000 0.000
0.000 2.547 3.657
2.206 1.274 2.472
```


The structure with the least stability is <2>.


<1>
VASP calculation (GGA-PBE) on a relaxed structure of CsGa3Se.

Properties
SG: Pm-3m, No. 221

The structure in POSCAR format:
```
CsGa3Se
1.0
6.087 0.000 0.000
0.000 6.087 0.000
0.000 0.000 6.087
Cs Ga Se
1 3 1
Cartesian
0.000 0.000 0.000
0.000 0.000 3.044
0.000 3.044 0.000
3.044 0.000 0.000
3.044 3.044 3.044
```


<2>
VASP calculation (GGA-PBE) on a relaxed structure of CsGa3Se.

Properties
SG: Pm-3m, No. 221

The structure in POSCAR format:
```
CsGa3Se
1.0
5.732 0.000 0.000
0.000 5.732 0.000
0.000 0.000 5.732
Cs Ga Se
1 3 1
Cartesian
0.000 0.000 0.000
0.000 2.866 2.866
2.866 0.000 2.866
2.866 2.866 0.000
2.866 2.866 2.866
```


The structure with the least stability is <1>.


<1>
VASP calculation (GGA-PBE) on a relaxed structure of CsGa3Sn.

Properties
SG: Pm-3m, No. 221

The structure in POSCAR format:
```
CsGa3Sn
1.0
5.885 0.000 0.000
0.000 5.885 0.000
0.000 0.000 5.885
Cs Ga Sn
1 3 1
Cartesian
0.000 0.000 0.000
0.000 0.000 2.943
0.000 2.943 0.000
2.943 0.000 0.000
2.943 2.943 2.943
```


<2>
VASP calculation (GGA-PBE) on a relaxed structure of CsGa3Sn.

Properties
SG: Pm-3m, No. 221

The structure in POSCAR format:
```
CsGa3Sn
1.0
5.694 0.000 0.000
0.000 5.694 0.000
0.000 0.000 5.694
Cs Ga Sn
1 3 1
Cartesian
0.000 0.000 0.000
0.000 2.847 2.847
2.847 0.000 2.847
2.847 2.847 0.000
2.847 2.847 2.847
```


The structure with the least stability is <1>.


<1>
VASP calculation (GGA-PBE) on a relaxed structure of Cs2Ga2Sn.

Properties
SG: C2/m, No. 12

The structure in POSCAR format:
```
Cs2Ga2Sn
1.0
4.094 -2.364 0.000
4.094 2.364 0.000
-0.014 0.000 11.835
Cs Ga Sn
2 2 1
Cartesian
1.358 0.000 2.540
6.817 0.000 9.295
1.358 0.000 7.005
6.817 0.000 4.830
4.088 0.000 5.918
```


<2>
VASP calculation (GGA-PBE) on a relaxed structure of Cs2Ga2Sn.

Properties
SG: P4/mbm, No. 127

The structure in POSCAR format:
```
Cs2Ga2Sn
1.0
7.478 0.000 0.000
0.000 7.478 0.000
0.000 0.000 6.398
Cs Ga Sn
4 4 2
Cartesian
1.401 2.338 0.000
2.338 6.077 0.000
5.140 1.401 0.000
6.077 5.140 0.000
0.921 4.660 3.199
2.819 0.921 3.199
4.660 6.558 3.199
6.558 2.819 3.199
0.000 0.000 3.199
3.739 3.739 3.199
```


The structure with the least stability is <2>.


<1>
VASP calculation (GGA-PBE) on a relaxed structure of CsGa2Sn8.

Properties
SG: P4/mmm, No. 123

The structure in POSCAR format:
```
CsGa2Sn8
1.0
6.721 0.000 0.000
0.000 6.721 0.000
0.000 0.000 9.734
Cs Ga Sn
1 2 8
Cartesian
0.000 0.000 0.000
0.000 3.360 4.867
3.360 0.000 4.867
1.701 1.701 3.244
1.701 1.701 6.490
1.701 5.020 3.244
1.701 5.020 6.490
5.020 1.701 3.244
5.020 1.701 6.490
5.020 5.020 3.244
5.020 5.020 6.490
```


<2>
VASP calculation (GGA-PBE) on a relaxed structure of CsGa2Sn8.

Properties
SG: C2/m, No. 12

The structure in POSCAR format:
```
CsGa2Sn8
1.0
7.251 -3.554 0.000
7.251 3.554 0.000
-0.841 0.000 6.603
Cs Ga Sn
1 2 8
Cartesian
0.000 0.000 0.000
6.853 0.000 1.359
6.807 0.000 5.244
5.268 1.975 3.223
3.772 0.000 1.438
3.707 0.000 5.016
8.392 1.975 3.380
5.268 -1.975 3.223
9.953 0.000 1.587
9.888 0.000 5.165
8.392 -1.975 3.380
```


The structure with the least stability is <1>.


<1>
VASP calculation (GGA-PBE) on a relaxed structure of CsSr2Ga2.

Properties
SG: I4/mmm, No. 139

The structure in POSCAR format:
```
CsSr2Ga2
1.0
-2.988 2.988 6.673
2.988 -2.988 6.673
2.988 2.988 -6.673
Cs Sr Ga
1 2 2
Cartesian
0.000 0.000 0.000
0.000 0.000 4.487
0.000 0.000 8.860
2.988 0.000 3.337
0.000 2.988 3.337
```


<2>
VASP calculation (GGA-PBE) on a relaxed structure of CsSr2Ga2.

Properties
SG: P4/mbm, No. 127

The structure in POSCAR format:
```
CsSr2Ga2
1.0
9.401 0.000 0.000
0.000 9.401 0.000
0.000 0.000 4.241
Cs Sr Ga
2 4 4
Cartesian
0.000 0.000 0.000
4.701 4.701 0.000
1.641 3.060 2.120
3.060 7.760 2.120
6.341 1.641 2.120
7.760 6.341 2.120
0.975 5.676 0.000
3.725 0.975 0.000
5.676 8.426 0.000
8.426 3.725 0.000
```


<3>
VASP calculation (GGA-PBE) on a relaxed structure of CsSr2Ga2.

Properties
SG: I4/mmm, No. 139

The structure in POSCAR format:
```
CsSr2Ga2
1.0
-2.995 2.995 5.478
2.995 -2.995 5.478
2.995 2.995 -5.478
Cs Sr Ga
1 2 2
Cartesian
0.000 0.000 0.000
2.995 0.000 2.739
0.000 2.995 2.739
0.000 0.000 4.256
0.000 0.000 6.699
```


The structure with the least stability is <1>.